1.
{"formula": "Ce2CoI2", "functional": "PBE-GGA", "state": "optimized geometry", "cell": [[3.931, 0.000, 0.734], [1.979, 3.589, 0.294], [-0.105, -1.338, 11.454]], "species": ["Ce", "Ce", "Co", "I", "I"], "fractional_positions": [[0.725, 0.179, 0.371], [0.275, 0.821, 0.629], [0.000, 0.500, 0.500], [0.535, 0.758, 0.172], [0.465, 0.242, 0.828]], "rho_g_cm3": 6.1, "space_group": "No. 12", "e_form_raw_mev_per_atom": -766}

2.
{"formula": "ZrTaTcOs", "functional": "PBE-GGA", "state": "optimized geometry", "cell": [[-0.332, -1.014, 3.045], [3.878, -2.391, -0.374], [2.382, 3.634, 1.470]], "species": ["Zr", "Ta", "Tc", "Os"], "fractional_positions": [[0.000, 0.500, 0.500], [0.000, 0.000, 0.000], [0.500, 0.000, 0.500], [0.500, 0.500, 0.000]], "formation_enthalpy_0k_ev_per_atom": -0.472, "rho_g_cm3": 13.8, "space_group": "No. 47"}

3.
{"formula": "K2OsF6", "functional": "PBE-GGA", "state": "optimized geometry", "cell": [[6.201, 0.000, -0.605], [0.000, 6.731, 0.000], [-0.121, 0.000, 8.412]], "species": ["K", "K", "K", "K", "Os", "Os", "F", "F", "F", "F", "F", "F", "F", "F", "F", "F", "F", "F"], "fractional_positions": [[0.961, 0.422, 0.751], [0.539, 0.922, 0.749], [0.461, 0.078, 0.251], [0.039, 0.578, 0.249], [0.500, 0.500, 0.000], [0.000, 0.000, 0.500], [0.876, 0.951, 0.279], [0.867, 0.754, 0.571], [0.766, 0.649, 0.958], [0.734, 0.149, 0.542], [0.633, 0.254, 0.929], [0.624, 0.451, 0.221], [0.124, 0.049, 0.721], [0.133, 0.246, 0.429], [0.234, 0.351, 0.042], [0.266, 0.851, 0.458], [0.367, 0.746, 0.071], [0.376, 0.549, 0.779]], "rho_g_cm3": 3.6, "space_group": "No. 14", "e_form_raw_mev_per_atom": -2266}

4.
{"formula": "SmThTlCd", "functional": "PBE-GGA", "state": "optimized geometry", "cell": [[5.455, 0.000, 0.000], [2.728, 4.724, 0.000], [2.728, 1.575, 4.454]], "species": ["Tl", "Sm", "Th", "Cd"], "fractional_positions": [[0.250, 0.250, 0.250], [0.500, 0.500, 0.500], [0.000, 0.000, 0.000], [0.750, 0.750, 0.750]], "formation_enthalpy_0k_ev_per_atom": -0.203, "rho_g_cm3": 10.1, "space_group": "No. 216"}

5.
{"formula": "ZnTe2", "functional": "PBE-GGA", "state": "optimized geometry", "cell": [[-4.372, 4.004, 3.143], [-6.680, 0.587, 0.227], [5.684, -3.529, 0.513]], "species": ["Te", "Te", "Zn"], "fractional_positions": [[0.362, 0.362, 0.000], [0.638, 0.638, 0.000], [0.000, 0.000, 0.000]], "rho_g_cm3": 6.9, "space_group": "No. 71", "e_form_raw_mev_per_atom": 192}

6.
{"formula": "Pm12CuGe6", "functional": "PBE-GGA", "state": "optimized geometry", "cell": [[-6.733, 3.006, -4.351], [-3.546, -6.883, 3.654], [-0.009, 5.385, 6.656]], "species": ["Pm", "Pm", "Pm", "Pm", "Pm", "Pm", "Pm", "Pm", "Pm", "Pm", "Pm", "Pm", "Cu", "Ge", "Ge", "Ge", "Ge", "Ge", "Ge"], "fractional_positions": [[0.813, 0.580, 0.437], [0.437, 0.813, 0.580], [0.580, 0.437, 0.813], [0.187, 0.420, 0.563], [0.563, 0.187, 0.420], [0.420, 0.563, 0.187], [0.067, 0.952, 0.322], [0.048, 0.678, 0.933], [0.678, 0.933, 0.048], [0.933, 0.048, 0.678], [0.952, 0.322, 0.067], [0.322, 0.067, 0.952], [0.000, 0.000, 0.000], [0.691, 0.873, 0.382], [0.618, 0.309, 0.127], [0.127, 0.618, 0.309], [0.309, 0.127, 0.618], [0.382, 0.691, 0.873], [0.873, 0.382, 0.691]], "formation_enthalpy_0k_ev_per_atom": -0.442, "rho_g_cm3": 6.2, "space_group": "No. 148"}

Total moment? In order: 1.014, 0.000, 4.000, 0.000, 0.000, 0.054 μB per cell.
V? In order: 161.5, 67.7, 350.7, 114.8, 77.7, 595.1 Å³ per cell.